# 1
Computed, not measured: a geometry-optimized HfSi3Cl structure at the PBE-GGA level of DFT.

* symmetry: Pm-3m, No. 221
* formation energy from raw total energies: 4.5 eV/f.u.
* relative energy among the computed polymorphs: 0.082 eV/atom

a b c (Å): 4.565 4.565 4.565
angles (deg): 90.00 90.00 90.00
Positions (direct):
1 Si 0.500 0.000 0.000
2 Si 0.000 0.000 0.500
3 Si 0.000 0.500 0.000
4 Hf 0.500 0.500 0.500
5 Cl 0.000 0.000 0.000



# 2
Computed, not measured: a geometry-optimized Zn5IrPd structure at the PBE-GGA level of DFT.

* symmetry: P4/mmm, No. 123
* ΔH_f (0 K): -212 meV/atom

a b c (Å): 4.413 4.413 5.660
angles (deg): 90.00 90.00 90.00
Positions (direct):
1 Ir 0.500 0.500 0.000
2 Zn 0.500 0.000 0.767
3 Zn 0.000 0.500 0.233
4 Zn 0.000 0.500 0.767
5 Zn 0.500 0.000 0.233
6 Zn 0.500 0.500 0.500
7 Pd 0.000 0.000 0.500



# 3
Computed, not measured: a geometry-optimized NaIn3 structure at the PBE-GGA level of DFT.

* symmetry: Pm-3m, No. 221
* ΔH_f (0 K): -76 meV/atom

a b c (Å): 4.728 4.728 4.731
angles (deg): 90.00 90.00 90.00
Positions (direct):
1 In 0.000 0.500 0.583
2 In 0.500 0.500 0.083
3 In 0.000 0.000 0.083
4 Na 0.500 0.000 0.583



# 4
Computed, not measured: a geometry-optimized MgZnIn structure at the PBE-GGA level of DFT.

* symmetry: C2/m, No. 12
* ΔH_f (0 K): 5 meV/atom

a b c (Å): 3.603 6.204 6.764
angles (deg): 117.31 104.62 90.00
Positions (direct):
1 Mg 0.406 0.591 0.929
2 Mg 0.406 0.067 0.929
3 In 0.709 0.639 0.549
4 In 0.101 0.019 0.309
5 Zn 0.786 0.207 0.686
6 Zn 0.024 0.451 0.173



# 5
Computed, not measured: a geometry-optimized Tb8PmPr5 structure at the PBE-GGA level of DFT.

* symmetry: C2/m, No. 12
* ΔH_f (0 K): 45 meV/atom

a b c (Å): 3.578 17.013 8.970
angles (deg): 62.48 101.51 90.00
Positions (direct):
1 Tb 0.078 0.278 0.155
2 Tb 0.146 0.561 0.293
3 Tb 0.922 0.722 0.845
4 Tb 0.216 0.854 0.432
5 Tb 0.854 0.439 0.707
6 Tb 0.784 0.146 0.568
7 Tb 0.581 0.777 0.162
8 Tb 0.419 0.223 0.838
9 Pr 0.287 0.643 0.574
10 Pr 0.645 0.060 0.289
11 Pr 0.713 0.357 0.426
12 Pr 0.000 0.000 0.000
13 Pr 0.355 0.940 0.711
14 Pm 0.500 0.500 0.000



# 6
Computed, not measured: a geometry-optimized AcMgO structure at the PBE-GGA level of DFT.

* symmetry: R-3m, No. 166
* formation energy from raw total energies: -5.2 eV/f.u.

a b c (Å): 4.158 4.158 11.295
angles (deg): 79.39 79.39 60.00
Positions (direct):
1 Ac 0.618 0.618 0.145
2 Ac 0.382 0.382 0.855
3 O 0.694 0.694 0.917
4 O 0.306 0.306 0.083
5 Mg 0.863 0.863 0.410
6 Mg 0.137 0.137 0.590



# 7
Computed, not measured: a geometry-optimized PmNd3Dy3 structure at the PBE-GGA level of DFT.

* symmetry: R-3, No. 148
* ΔH_f (0 K): 198 meV/atom
* relative energy among the computed polymorphs: 0.174 eV/atom

a b c (Å): 8.939 8.939 8.939
angles (deg): 58.68 58.68 58.68
Positions (direct):
1 Dy 0.826 0.063 0.286
2 Dy 0.063 0.286 0.826
3 Dy 0.714 0.174 0.937
4 Dy 0.286 0.826 0.063
5 Dy 0.937 0.714 0.174
6 Dy 0.174 0.937 0.714
7 Nd 0.930 0.281 0.434
8 Nd 0.281 0.434 0.930
9 Nd 0.719 0.566 0.070
10 Nd 0.566 0.070 0.719
11 Nd 0.070 0.719 0.566
12 Nd 0.434 0.930 0.281
13 Pm 0.655 0.655 0.655
14 Pm 0.345 0.345 0.345



# 8
Computed, not measured: a geometry-optimized AcNd4Sn2 structure at the PBE-GGA level of DFT.

* symmetry: I4/mmm, No. 139
* ΔH_f (0 K): -115 meV/atom

a b c (Å): 4.613 4.613 13.236
angles (deg): 100.04 100.04 90.00
Positions (direct):
1 Nd 0.137 0.137 0.273
2 Nd 0.250 0.750 0.500
3 Nd 0.750 0.250 0.500
4 Nd 0.863 0.863 0.727
5 Sn 0.651 0.651 0.303
6 Sn 0.349 0.349 0.697
7 Ac 0.000 0.000 0.000



# 9
Computed, not measured: a geometry-optimized BeAl2Sb structure at the PBE-GGA level of DFT.

* symmetry: P4/mmm, No. 123
* formation energy from raw total energies: 1.2 eV/f.u.
* relative energy among the computed polymorphs: 0.053 eV/atom

a b c (Å): 3.027 3.028 7.710
angles (deg): 90.00 90.00 90.00
Positions (direct):
1 Be 0.500 0.500 0.250
2 Al 0.000 0.000 0.438
3 Al 0.000 0.000 0.062
4 Sb 0.500 0.500 0.750



# 10
Computed, not measured: a geometry-optimized Li2AcNdIn2 structure at the PBE-GGA level of DFT.

* symmetry: P-3m1, No. 164
* ΔH_f (0 K): -316 meV/atom

a b c (Å): 5.126 5.126 7.180
angles (deg): 90.00 90.00 120.00
Positions (direct):
1 In 0.333 0.667 0.276
2 In 0.667 0.333 0.724
3 Li 0.333 0.667 0.723
4 Li 0.667 0.333 0.277
5 Ac 0.000 0.000 0.000
6 Nd 0.000 0.000 0.500



# 11
Computed, not measured: a geometry-optimized ZrMn2Fe2 structure at the PBE-GGA level of DFT.

* symmetry: I4/mmm, No. 139
* ΔH_f (0 K): 25 meV/atom
* relative energy among the computed polymorphs: 0.000 eV/atom

a b c (Å): 3.790 3.790 9.877
angles (deg): 101.06 101.06 90.00
Positions (direct):
1 Fe 0.750 0.250 0.500
2 Fe 0.073 0.073 0.146
3 Fe 0.927 0.927 0.854
4 Fe 0.250 0.750 0.500
5 Zr 0.374 0.374 0.747
6 Zr 0.626 0.626 0.253
7 Mn 0.500 0.000 0.000
8 Mn 0.000 0.500 0.000
9 Mn 0.817 0.817 0.635
10 Mn 0.183 0.183 0.365



# 12
Computed, not measured: a geometry-optimized Pm3P2PtRh9 structure at the PBE-GGA level of DFT.

* symmetry: P-3m1, No. 164
* ΔH_f (0 K): -537 meV/atom

a b c (Å): 5.921 5.921 9.398
angles (deg): 90.00 90.00 120.00
Positions (direct):
1 P 0.333 0.667 0.158
2 P 0.667 0.333 0.842
3 Rh 0.500 0.000 0.000
4 Rh 0.152 0.304 0.278
5 Rh 0.696 0.848 0.278
6 Rh 0.500 0.500 0.000
7 Rh 0.000 0.500 0.000
8 Rh 0.848 0.696 0.722
9 Rh 0.304 0.152 0.722
10 Rh 0.848 0.152 0.722
11 Rh 0.152 0.848 0.278
12 Pm 0.333 0.667 0.619
13 Pm 0.000 0.000 0.000
14 Pm 0.667 0.333 0.381
15 Pt 0.000 0.000 0.500



| no. | theoretical density (g cm⁻³) | V (Å³ per cell) | D(E_F) (states/eV/cell) |
| --- | --- | --- | --- |
| 1 | 5.206 | 95.11 | 2.94 |
| 2 | 9.424 | 110.24 | 2.91 |
| 3 | 5.770 | 105.75 | 2.06 |
| 4 | 5.274 | 128.79 | 2.68 |
| 5 | 7.464 | 471.86 | 19.49 |
| 6 | 5.372 | 165.27 | 3.50 |
| 7 | 7.223 | 489.82 | 20.66 |
| 8 | 6.335 | 272.95 | 7.63 |
| 9 | 4.341 | 70.67 | 1.49 |
| 10 | 6.249 | 163.35 | 5.48 |
| 11 | 7.606 | 136.57 | 11.16 |
| 12 | 9.416 | 285.38 | 12.24 |